Record 1
This record from Alexandria describes crystalline TbRePbO6 at its relaxed geometry. The functional is PBE.

- E_tot (eV per atom) = -7.6329
- formation energy from raw total energies (kJ/mol of formula units) = -1752.2
- total magnetic moment (μB per formula unit) = 0.0

Cell and atoms, written as POSCAR:
```
TbRePbO6
1.0
5.621 0.000 0.000
2.811 4.868 0.000
0.000 0.000 5.169
O Pb Re Tb
6 1 1 1
Direct
0.605 0.046 0.290
0.046 0.349 0.290
0.348 0.047 0.710
0.605 0.348 0.710
0.349 0.605 0.290
0.046 0.605 0.710
0.000 0.000 0.000
0.333 0.333 0.500
0.667 0.667 0.500
```

---

Record 2
This record from Alexandria describes crystalline CaSm2Y3 at its relaxed geometry. The functional is PBE.

- E_tot (eV per atom) = -4.9118
- ΔH_f (0 K) (eV per atom) = 0.227
- total magnetic moment (μB per formula unit) = 0.0

Cell and atoms, written as POSCAR:
```
CaSm2Y3
1.0
6.752 0.000 0.000
-3.376 5.848 0.000
0.000 0.000 10.880
Y Sm Ca
6 4 2
Direct
0.662 0.831 0.259
0.831 0.169 0.741
0.169 0.338 0.259
0.831 0.662 0.741
0.338 0.169 0.741
0.169 0.831 0.259
0.333 0.667 0.571
0.667 0.333 0.429
0.000 0.000 0.500
0.000 0.000 0.000
0.667 0.333 0.064
0.333 0.667 0.936
```

---

Record 3
This record from Alexandria describes crystalline BaNa6Ca at its relaxed geometry. The functional is PBE.

- E_tot (eV per atom) = -1.3844
- ΔH_f (0 K) (eV per atom) = 0.095
- total magnetic moment (μB per formula unit) = 0.0

Cell and atoms, written as POSCAR:
```
BaNa6Ca
1.0
6.917 0.000 0.000
0.000 6.917 0.000
0.000 0.000 6.917
Na Ba Ca
6 1 1
Direct
0.500 0.759 0.000
0.500 0.241 0.000
0.000 0.500 0.759
0.000 0.500 0.241
0.759 0.000 0.500
0.241 0.000 0.500
0.500 0.500 0.500
0.000 0.000 0.000
```

---

Record 4
This record from Alexandria describes crystalline MnPd2Ru at its relaxed geometry. The functional is PBE.

- E_tot (eV per atom) = -6.5880
- ΔH_f (0 K) (eV per atom) = 0.620
- total magnetic moment (μB per formula unit) = 0.0

Cell and atoms, written as POSCAR:
```
MnPd2Ru
1.0
3.658 0.000 0.000
0.000 3.658 0.000
1.829 1.829 8.925
Ru Pd Mn
2 4 2
Direct
0.000 0.000 0.000
0.750 0.250 0.500
0.375 0.379 0.750
0.129 0.625 0.250
0.621 0.125 0.250
0.875 0.871 0.750
0.500 0.500 0.000
0.250 0.750 0.500
```

---

Record 5
This record from Alexandria describes crystalline GdZrTe2 at its relaxed geometry. The functional is PBE.

- E_tot (eV per atom) = -7.8611
- polymorph energy (0 for the lowest one) (meV/atom) = 347.0
- formation energy from raw total energies (kJ/mol of formula units) = -244.3
- total magnetic moment (μB per formula unit) = 7.3

Cell and atoms, written as POSCAR:
```
GdZrTe2
1.0
-2.207 1.862 2.666
-3.889 0.261 -0.505
-3.236 -7.739 5.624
Zr Gd Te
1 1 2
Direct
0.500 0.500 0.500
0.000 0.000 0.000
0.104 0.104 0.687
0.896 0.896 0.313
```

---

Record 6
This record from Alexandria describes crystalline PrLuMgAl at its relaxed geometry. The functional is PBE.

- E_tot (eV per atom) = -3.9021
- ΔH_f (0 K) (eV per atom) = -0.243
- total magnetic moment (μB per formula unit) = 0.0

Cell and atoms, written as POSCAR:
```
PrLuMgAl
1.0
5.250 0.000 0.000
2.625 4.547 0.000
2.625 1.516 4.287
Pr Al Lu Mg
1 1 1 1
Direct
0.750 0.750 0.750
0.500 0.500 0.500
0.250 0.250 0.250
0.000 0.000 0.000
```

---

Record 7
This record from Alexandria describes crystalline Cr3TcRh12 at its relaxed geometry. The functional is PBE.

- E_tot (eV per atom) = -8.0765
- ΔH_f (0 K) (eV per atom) = -0.111
- total magnetic moment (μB per formula unit) = 4.9

Cell and atoms, written as POSCAR:
```
Cr3TcRh12
1.0
3.817 0.000 0.000
0.000 3.817 0.000
0.000 0.000 15.254
Rh Tc Cr
12 1 3
Direct
0.500 0.000 0.625
0.000 0.500 0.625
0.000 0.500 0.375
0.500 0.000 0.375
0.500 0.500 0.250
0.000 0.500 0.125
0.000 0.500 0.875
0.500 0.500 0.750
0.500 0.000 0.125
0.500 0.000 0.875
0.500 0.500 0.000
0.500 0.500 0.500
0.000 0.000 0.000
0.000 0.000 0.500
0.000 0.000 0.255
0.000 0.000 0.745
```

---

Record 8
This record from Alexandria describes crystalline Rb2NaAcBr6 at its relaxed geometry. The functional is PBE.

- E_tot (eV per atom) = -3.5807
- formation energy from raw total energies (kJ/mol of formula units) = -1776.0
- total magnetic moment (μB per formula unit) = 0.0

Cell and atoms, written as POSCAR:
```
Rb2NaAcBr6
1.0
-5.765 0.778 -5.647
5.458 -2.603 -5.931
-3.454 -10.889 1.600
Rb Br Ac Na
4 12 2 2
Direct
0.475 0.430 0.245
0.975 0.070 0.745
0.025 0.930 0.255
0.525 0.570 0.755
0.699 0.295 0.555
0.199 0.205 0.055
0.301 0.705 0.445
0.801 0.795 0.945
0.300 0.702 0.052
0.800 0.798 0.552
0.393 0.968 0.753
0.107 0.468 0.747
0.607 0.032 0.247
0.893 0.532 0.253
0.200 0.202 0.448
0.700 0.298 0.948
0.000 0.500 0.000
0.500 0.000 0.500
0.500 0.000 0.000
0.000 0.500 0.500
```